(1)
# SrSnH2 | the Alexandria database | GGA-PBE | optimized geometry
# V = 151 Å³ per cell
# size of the total moment = 0.000 μB/atom
# E_tot = -3.10 eV/atom
# space-group type = I-42d (122)
# density of states at the Fermi level = 1.49 states/eV/f.u.
data_SrSnH2
_symmetry_space_group_name_H-M 'P 1'
_symmetry_Int_Tables_number 1
_cell_length_a 4.945
_cell_length_b 4.945
_cell_length_c 7.114
_cell_angle_alpha 69.66
_cell_angle_beta 69.66
_cell_angle_gamma 90.00
loop_
_symmetry_equiv_pos_as_xyz
'x,y,z'
loop_
_atom_site_label
_atom_site_type_symbol
_atom_site_fract_x
_atom_site_fract_y
_atom_site_fract_z
Sn1 Sn 0.750 0.250 0.500
Sn2 Sn 0.000 0.000 0.000
H1 H 0.875 0.924 0.750
H2 H 0.375 0.326 0.750
H3 H 0.674 0.125 0.250
H4 H 0.076 0.625 0.250
Sr1 Sr 0.500 0.500 0.000
Sr2 Sr 0.250 0.750 0.500


(2)
# CrTc | the Alexandria database | GGA-PBE | optimized geometry
# V = 53 Å³ per cell
# size of the total moment = 0.000 μB/atom
# energy of formation = 131 meV/atom
# space-group type = Cmmm (65)
# density of states at the Fermi level = 2.29 states/eV/f.u.
data_CrTc
_symmetry_space_group_name_H-M 'P 1'
_symmetry_Int_Tables_number 1
_cell_length_a 2.983
_cell_length_b 4.300
_cell_length_c 4.151
_cell_angle_alpha 90.00
_cell_angle_beta 90.00
_cell_angle_gamma 90.00
loop_
_symmetry_equiv_pos_as_xyz
'x,y,z'
loop_
_atom_site_label
_atom_site_type_symbol
_atom_site_fract_x
_atom_site_fract_y
_atom_site_fract_z
Cr1 Cr 0.000 0.000 0.500
Cr2 Cr 0.500 0.500 0.500
Tc1 Tc 0.500 0.000 0.000
Tc2 Tc 0.000 0.500 0.000


(3)
# USiIrN | the Alexandria database | GGA-PBE | optimized geometry
# V = 122 Å³ per cell
# size of the total moment = 0.209 μB/atom
# space-group type = P4/nmm (129)
# ΔE_f (raw) = -1.045 eV per atom
# density of states at the Fermi level = 4.37 states/eV/f.u.
data_USiIrN
_symmetry_space_group_name_H-M 'P 1'
_symmetry_Int_Tables_number 1
_cell_length_a 3.986
_cell_length_b 3.986
_cell_length_c 7.701
_cell_angle_alpha 90.00
_cell_angle_beta 90.00
_cell_angle_gamma 90.00
loop_
_symmetry_equiv_pos_as_xyz
'x,y,z'
loop_
_atom_site_label
_atom_site_type_symbol
_atom_site_fract_x
_atom_site_fract_y
_atom_site_fract_z
Si1 Si 0.500 0.000 0.670
Si2 Si 0.000 0.500 0.330
Ir1 Ir 0.000 0.000 0.500
Ir2 Ir 0.500 0.500 0.500
N1 N 0.000 0.000 0.000
N2 N 0.500 0.500 0.000
U1 U 0.000 0.500 0.859
U2 U 0.500 0.000 0.141


(4)
# CsTl6 | the Alexandria database | GGA-PBE | optimized geometry
# V = 1000 Å³ per cell
# size of the total moment = 0.000 μB/atom
# energy of formation = -44 meV/atom
# space-group type = Pnma (62)
# density of states at the Fermi level = 3.39 states/eV/f.u.
data_CsTl6
_symmetry_space_group_name_H-M 'P 1'
_symmetry_Int_Tables_number 1
_cell_length_a 6.978
_cell_length_b 10.690
_cell_length_c 13.411
_cell_angle_alpha 90.00
_cell_angle_beta 90.00
_cell_angle_gamma 90.00
loop_
_symmetry_equiv_pos_as_xyz
'x,y,z'
loop_
_atom_site_label
_atom_site_type_symbol
_atom_site_fract_x
_atom_site_fract_y
_atom_site_fract_z
Cs1 Cs 0.750 0.240 0.938
Cs2 Cs 0.250 0.260 0.438
Cs3 Cs 0.250 0.760 0.062
Cs4 Cs 0.750 0.740 0.562
Tl1 Tl 0.250 0.140 0.147
Tl2 Tl 0.250 0.811 0.761
Tl3 Tl 0.250 0.564 0.594
Tl4 Tl 0.750 0.600 0.025
Tl5 Tl 0.750 0.936 0.094
Tl6 Tl 0.986 0.066 0.689
Tl7 Tl 0.750 0.860 0.853
Tl8 Tl 0.514 0.566 0.811
Tl9 Tl 0.486 0.434 0.189
Tl10 Tl 0.250 0.311 0.739
Tl11 Tl 0.986 0.566 0.811
Tl12 Tl 0.514 0.066 0.689
Tl13 Tl 0.750 0.360 0.647
Tl14 Tl 0.250 0.640 0.353
Tl15 Tl 0.250 0.400 0.975
Tl16 Tl 0.750 0.436 0.406
Tl17 Tl 0.750 0.100 0.475
Tl18 Tl 0.250 0.900 0.525
Tl19 Tl 0.750 0.189 0.239
Tl20 Tl 0.014 0.934 0.311
Tl21 Tl 0.250 0.064 0.906
Tl22 Tl 0.486 0.934 0.311
Tl23 Tl 0.014 0.434 0.189
Tl24 Tl 0.750 0.689 0.261


(5)
# VCoAsW2 | the Alexandria database | GGA-PBE | optimized geometry
# V = 86 Å³ per cell
# size of the total moment = 0.000 μB/atom
# energy of formation = 1298 meV/atom
# space-group type = P4/mmm (123)
# density of states at the Fermi level = 6.11 states/eV/f.u.
data_VCoAsW2
_symmetry_space_group_name_H-M 'P 1'
_symmetry_Int_Tables_number 1
_cell_length_a 4.549
_cell_length_b 4.134
_cell_length_c 4.549
_cell_angle_alpha 90.00
_cell_angle_beta 90.00
_cell_angle_gamma 90.00
loop_
_symmetry_equiv_pos_as_xyz
'x,y,z'
loop_
_atom_site_label
_atom_site_type_symbol
_atom_site_fract_x
_atom_site_fract_y
_atom_site_fract_z
Co1 Co 0.000 0.000 0.000
As1 As 0.000 0.500 0.000
V1 V 0.500 0.500 0.500
W1 W 0.000 0.000 0.500
W2 W 0.500 0.000 0.000


(6)
# Er3GeH | the Alexandria database | GGA-PBE | optimized geometry
# V = 214 Å³ per cell
# size of the total moment = 0.000 μB/atom
# E_tot = -4.79 eV/atom
# space-group type = P2_1/m (11)
# density of states at the Fermi level = 4.14 states/eV/f.u.
data_Er3GeH
_symmetry_space_group_name_H-M 'P 1'
_symmetry_Int_Tables_number 1
_cell_length_a 3.881
_cell_length_b 6.338
_cell_length_c 8.864
_cell_angle_alpha 100.51
_cell_angle_beta 90.00
_cell_angle_gamma 90.00
loop_
_symmetry_equiv_pos_as_xyz
'x,y,z'
loop_
_atom_site_label
_atom_site_type_symbol
_atom_site_fract_x
_atom_site_fract_y
_atom_site_fract_z
H1 H 0.750 0.165 0.653
H2 H 0.250 0.835 0.347
Er1 Er 0.750 0.097 0.366
Er2 Er 0.750 0.225 0.931
Er3 Er 0.250 0.903 0.634
Er4 Er 0.250 0.775 0.069
Er5 Er 0.250 0.416 0.654
Er6 Er 0.750 0.584 0.346
Ge1 Ge 0.750 0.715 0.829
Ge2 Ge 0.250 0.285 0.171


(7)
# Sr3Mn | the Alexandria database | GGA-PBE | optimized geometry
# V = 168 Å³ per cell
# size of the total moment = 1.099 μB/atom
# energy of formation = 512 meV/atom
# space-group type = R-3m (166)
# density of states at the Fermi level = 3.85 states/eV/f.u.
data_Sr3Mn
_symmetry_space_group_name_H-M 'P 1'
_symmetry_Int_Tables_number 1
_cell_length_a 7.187
_cell_length_b 7.187
_cell_length_c 7.187
_cell_angle_alpha 116.82
_cell_angle_beta 116.82
_cell_angle_gamma 116.82
loop_
_symmetry_equiv_pos_as_xyz
'x,y,z'
loop_
_atom_site_label
_atom_site_type_symbol
_atom_site_fract_x
_atom_site_fract_y
_atom_site_fract_z
Sr1 Sr 0.500 0.500 0.000
Sr2 Sr 0.500 0.000 0.500
Sr3 Sr 0.000 0.500 0.500
Mn1 Mn 0.000 0.000 0.000


(8)
# Pr4NdTmSe8 | the Alexandria database | GGA-PBE | optimized geometry
# V = 464 Å³ per cell
# size of the total moment = 0.054 μB/atom
# space-group type = R3m (160)
# ΔE_f (raw) = -1.721 eV per atom
# density of states at the Fermi level = 6.49 states/eV/f.u.
data_Pr4NdTmSe8
_symmetry_space_group_name_H-M 'P 1'
_symmetry_Int_Tables_number 1
_cell_length_a 8.691
_cell_length_b 8.691
_cell_length_c 8.685
_cell_angle_alpha 59.98
_cell_angle_beta 59.98
_cell_angle_gamma 60.00
loop_
_symmetry_equiv_pos_as_xyz
'x,y,z'
loop_
_atom_site_label
_atom_site_type_symbol
_atom_site_fract_x
_atom_site_fract_y
_atom_site_fract_z
Se1 Se 0.247 0.247 0.750
Se2 Se 0.249 0.249 0.254
Se3 Se 0.760 0.760 0.257
Se4 Se 0.759 0.759 0.724
Se5 Se 0.247 0.755 0.750
Se6 Se 0.760 0.223 0.257
Se7 Se 0.755 0.247 0.750
Se8 Se 0.223 0.760 0.257
Pr1 Pr 0.491 0.003 0.503
Pr2 Pr 0.625 0.625 0.126
Pr3 Pr 0.003 0.491 0.503
Pr4 Pr 0.003 0.003 0.503
Nd1 Nd 0.003 0.003 0.991
Tm1 Tm 0.375 0.375 0.875


(9)
# YAgMo2 | the Alexandria database | GGA-PBE | optimized geometry
# V = 77 Å³ per cell
# size of the total moment = 0.000 μB/atom
# energy of formation = 511 meV/atom
# space-group type = I4/mmm (139)
# density of states at the Fermi level = 4.80 states/eV/f.u.
data_YAgMo2
_symmetry_space_group_name_H-M 'P 1'
_symmetry_Int_Tables_number 1
_cell_length_a 5.604
_cell_length_b 5.604
_cell_length_c 5.604
_cell_angle_alpha 138.27
_cell_angle_beta 138.27
_cell_angle_gamma 60.50
loop_
_symmetry_equiv_pos_as_xyz
'x,y,z'
loop_
_atom_site_label
_atom_site_type_symbol
_atom_site_fract_x
_atom_site_fract_y
_atom_site_fract_z
Y1 Y 0.250 0.750 0.500
Ag1 Ag 0.750 0.250 0.500
Mo1 Mo 0.500 0.500 0.000
Mo2 Mo 0.000 0.000 0.000


(10)
# In2SiHg | the Alexandria database | GGA-PBE | optimized geometry
# V = 96 Å³ per cell
# size of the total moment = 0.000 μB/atom
# space-group type = Imm2 (44)
# ΔE_f (raw) = 0.264 eV per atom
# density of states at the Fermi level = 1.56 states/eV/f.u.
data_In2SiHg
_symmetry_space_group_name_H-M 'P 1'
_symmetry_Int_Tables_number 1
_cell_length_a 6.515
_cell_length_b 6.515
_cell_length_c 6.515
_cell_angle_alpha 150.66
_cell_angle_beta 134.47
_cell_angle_gamma 55.09
loop_
_symmetry_equiv_pos_as_xyz
'x,y,z'
loop_
_atom_site_label
_atom_site_type_symbol
_atom_site_fract_x
_atom_site_fract_y
_atom_site_fract_z
In1 In 0.000 0.000 0.000
In2 In 0.289 0.789 0.500
Hg1 Hg 0.711 0.211 0.500
Si1 Si 0.500 0.500 0.000